[1]
First-principles (PBE) data for a geometry-optimized HoHgPb3 structure, as listed in Alexandria.

The structure in extended XYZ format:
```
10
Lattice="4.627 -5.745 0.000 4.627 5.745 0.000 0.000 0.000 6.333" Properties=species:S:1:pos:R:3 pbc="T T T"
Ho 4.627 3.002 4.750
Ho 4.627 -3.002 1.583
Hg 4.627 0.077 1.583
Hg 4.627 -0.077 4.750
Pb 0.000 0.000 0.000
Pb 0.000 0.000 3.167
Pb 3.099 3.121 1.583
Pb 6.155 3.121 1.583
Pb 3.099 -3.121 4.750
Pb 6.155 -3.121 4.750
```

Output
Calculated total energy: -3.20 eV per atom
SG: No. 63
Total magnetization: 0.00 μB per atom
Formation energy: -0.001 eV/atom
Relative energy among the computed polymorphs: 0.115 eV/atom

---

[2]
First-principles (PBE) data for a geometry-optimized KHf2Os structure, as listed in Alexandria.

The structure in extended XYZ format:
```
16
Lattice="6.875 0.000 0.000 0.000 6.875 0.000 0.000 0.000 6.875" Properties=species:S:1:pos:R:3 pbc="T T T"
K 0.000 0.000 0.000
K 0.000 3.437 3.437
K 3.437 0.000 3.437
K 3.437 3.437 0.000
Hf 1.719 1.719 1.719
Hf 1.719 1.719 5.156
Hf 1.719 5.156 1.719
Hf 1.719 5.156 5.156
Hf 5.156 1.719 1.719
Hf 5.156 1.719 5.156
Hf 5.156 5.156 1.719
Hf 5.156 5.156 5.156
Os 0.000 0.000 3.437
Os 0.000 3.437 0.000
Os 3.437 0.000 0.000
Os 3.437 3.437 3.437
```

Output
Calculated total energy: -7.42 eV per atom
SG: No. 225
Total magnetization: 0.00 μB per atom
Formation energy: 0.638 eV/atom
Relative energy among the computed polymorphs: 0.000 eV/atom

---

[3]
First-principles (PBE) data for a geometry-optimized TmMg3Cd3 structure, as listed in Alexandria.

The structure in extended XYZ format:
```
28
Lattice="8.684 0.000 0.000 0.000 8.684 0.000 0.000 0.000 8.684" Properties=species:S:1:pos:R:3 pbc="T T T"
Tm 0.413 3.929 4.755
Tm 3.929 4.755 0.413
Tm 4.755 0.413 3.929
Tm 8.271 8.271 8.271
Mg 1.129 5.471 7.555
Mg 1.459 1.459 1.459
Mg 1.657 7.027 2.685
Mg 2.685 1.657 7.027
Mg 2.883 7.225 5.801
Mg 3.213 3.213 3.213
Mg 5.471 7.555 1.129
Mg 5.801 2.883 7.225
Mg 5.999 5.999 5.999
Mg 7.027 2.685 1.657
Mg 7.225 5.801 2.883
Mg 7.555 1.129 5.471
Cd 0.052 2.712 7.771
Cd 0.913 4.394 1.630
Cd 1.630 0.913 4.394
Cd 2.712 7.771 0.052
Cd 3.429 4.290 5.972
Cd 4.290 5.972 3.429
Cd 4.394 1.630 0.913
Cd 5.255 8.632 7.054
Cd 5.972 3.429 4.290
Cd 7.054 5.255 8.632
Cd 7.771 0.052 2.712
Cd 8.632 7.054 5.255
```

Output
Calculated total energy: -1.82 eV per atom
SG: No. 198
Total magnetization: 0.00 μB per atom
Formation energy: -0.102 eV/atom
Relative energy among the computed polymorphs: 0.000 eV/atom

---

[4]
First-principles (PBE) data for a geometry-optimized HPtRh2 structure, as listed in Alexandria.

The structure in extended XYZ format:
```
16
Lattice="5.954 0.000 0.000 0.000 5.954 0.000 0.000 0.000 5.954" Properties=species:S:1:pos:R:3 pbc="T T T"
H 0.000 0.000 0.000
H 0.000 2.977 2.977
H 2.977 0.000 2.977
H 2.977 2.977 0.000
Pt 0.000 0.000 2.977
Pt 0.000 2.977 0.000
Pt 2.977 0.000 0.000
Pt 2.977 2.977 2.977
Rh 1.488 1.488 1.488
Rh 1.488 1.488 4.465
Rh 1.488 4.465 1.488
Rh 1.488 4.465 4.465
Rh 4.465 1.488 1.488
Rh 4.465 1.488 4.465
Rh 4.465 4.465 1.488
Rh 4.465 4.465 4.465
```

Output
Calculated total energy: -5.45 eV per atom
SG: No. 225
Total magnetization: 0.22 μB per atom
Relative energy among the computed polymorphs: 0.546 eV/atom

---

[5]
First-principles (PBE) data for a geometry-optimized CuI2Br6 structure, as listed in Alexandria.

The structure in extended XYZ format:
```
18
Lattice="6.712 -8.249 0.000 6.712 8.249 0.000 -4.876 0.000 7.131" Properties=species:S:1:pos:R:3 pbc="T T T"
Cu 3.055 4.564 5.348
Cu 5.493 -4.564 1.783
I -0.396 0.678 4.724
I 2.042 -0.678 1.158
I 6.506 0.678 5.973
I 8.944 -0.678 2.408
Br 1.924 5.962 6.911
Br 4.186 5.962 3.786
Br 1.266 3.028 5.658
Br 3.335 1.139 2.408
Br 4.845 3.028 5.039
Br 0.897 -1.139 5.974
Br 7.651 1.139 1.157
Br 3.704 -3.028 2.092
Br 5.213 -1.139 4.723
Br 7.283 -3.028 1.474
Br 4.362 -5.962 3.345
Br 6.624 -5.962 0.220
```

Output
Calculated total energy: -1.97 eV per atom
SG: No. 15
Total magnetization: 0.00 μB per atom
Uncorrected formation energy: -0.0523 eV per atom

---

[6]
First-principles (PBE) data for a geometry-optimized Nd2CoAuC structure, as listed in Alexandria.

The structure in extended XYZ format:
```
5
Lattice="5.254 0.000 0.000 0.000 5.254 0.000 0.000 0.000 3.654" Properties=species:S:1:pos:R:3 pbc="T T T"
Nd 0.000 2.627 0.000
Nd 2.627 0.000 0.000
Co 0.000 0.000 1.827
Au 2.627 2.627 1.827
C 0.000 0.000 0.000
```

Output
Calculated total energy: -6.27 eV per atom
SG: No. 123
Total magnetization: 0.00 μB per atom
Formation energy: -0.445 eV/atom

---

What is the formula in the first record? HoHgPb3

---

Which of these has the highest calculated total energy? TmMg3Cd3

---

Look up the total magnetization of the second one. 0.00 μB per atom